The following is a DFT calculation (PBE) of a geometry-optimized SiPb2Cl structure.

a b c (Å): 3.4592 3.4592 9.4893
angles (deg): 90.00 90.00 102.89
Closest atoms and distances in Å follow each position.
Atoms (fractional coordinates):
Si 0.0000 0.0000 0.4793  2 Pb 2.92
Pb 0.5000 0.5000 0.2720  2 Si 2.92
Cl 0.5000 0.5000 0.7725  2 Pb 2.90
Pb 0.0000 0.0000 0.9763  2 Cl 2.90

Calculated values
Calculated total energy in eV/atom: -3.537


The following is a DFT calculation (PBE) of a geometry-optimized SiPb2Cl structure.

a b c (Å): 9.4285 9.4285 9.4285
angles (deg): 22.36 22.36 22.36
Closest atoms and distances in Å follow each position.
Atoms (fractional coordinates):
Pb 0.5028 0.5028 0.5028  3 Si 3.06, 3 Cl 3.18
Si 0.2500 0.2500 0.2500  6 Pb 3.06
Pb 0.9972 0.9972 0.9972  3 Si 3.06, 3 Cl 3.18
Cl 0.7500 0.7500 0.7500  6 Pb 3.18

Calculated values
Calculated total energy in eV/atom: -3.655